(one)
First-principles (PBE with a Hubbard U) data for CrBiF2 after structural relaxation, as listed in Alexandria via LeMat-Bulk.

abc: 3.3526 3.3526 26.7511
angles: 90.00 90.00 120.00
Space group R-3m (No. 166, hexagonal axes)
Symmetry-distinct sites (fractional):
Cr (0.0000, 0.0000, 0.0000)
Bi (0.0000, 0.0000, 0.5000)
F (0.0000, 0.0000, 0.3674)

(two)
First-principles (PBE with a Hubbard U) data for CrBiF2 after structural relaxation, as listed in Alexandria via LeMat-Bulk.

abc: 6.4082 6.4082 6.4082
angles: 90.00 90.00 90.00
Space group Fm-3m (No. 225)
Symmetry-distinct sites (fractional):
Cr (0.0000, 0.0000, 0.0000)
Bi (0.0000, 0.0000, 0.5000)
F (0.2500, 0.2500, 0.2500)

Which of them is most stable, and which least? Most stable: (one); least stable: (two).

(one)
First-principles (PBE with a Hubbard U) data for Cr3BiF after structural relaxation, as listed in Alexandria via LeMat-Bulk.

abc: 5.4488 5.4488 5.4488
angles: 90.00 90.00 90.00
Space group Pm-3m (No. 221)
Symmetry-distinct sites (fractional):
Cr (0.0000, 0.0000, 0.5000)
Bi (0.0000, 0.0000, 0.0000)
F (0.5000, 0.5000, 0.5000)

(two)
First-principles (PBE with a Hubbard U) data for Cr3BiF after structural relaxation, as listed in Alexandria via LeMat-Bulk.

abc: 4.6413 4.6413 4.6413
angles: 90.00 90.00 90.00
Space group Pm-3m (No. 221)
Symmetry-distinct sites (fractional):
Cr (0.0000, 0.0000, 0.5000)
Bi (0.5000, 0.5000, 0.5000)
F (0.0000, 0.0000, 0.0000)

Which of them is most stable, and which least? Most stable: (two); least stable: (one).

(one)
First-principles (PBE with a Hubbard U) data for CrBiOF2 after structural relaxation, as listed in Alexandria via LeMat-Bulk.

abc: 4.1901 4.1901 4.0429
angles: 90.00 90.00 90.00
Space group P4/mmm (No. 123)
Symmetry-distinct sites (fractional):
Cr (0.0000, 0.0000, 0.0000)
Bi (0.5000, 0.5000, 0.5000)
O (0.0000, 0.0000, 0.5000)
F (0.0000, 0.5000, 0.0000)

(two)
First-principles (PBE with a Hubbard U) data for CrBiOF2 after structural relaxation, as listed in Alexandria via LeMat-Bulk.

abc: 4.6045 4.6045 4.5048
angles: 90.00 90.00 90.00
Space group P4/mmm (No. 123)
Symmetry-distinct sites (fractional):
Cr (0.0000, 0.0000, 0.0000)
Bi (0.5000, 0.5000, 0.5000)
O (0.5000, 0.5000, 0.0000)
F (0.0000, 0.5000, 0.5000)

Which of them is most stable, and which least? Most stable: (one); least stable: (two).

(one)
First-principles (PBE with a Hubbard U) data for Rb2CrBiF6 after structural relaxation, as listed in Alexandria via LeMat-Bulk.

abc: 6.1843 9.9832 6.5449
angles: 90.00 90.00 90.00
Space group Pmmn (No. 59, origin choice 2)
Symmetry-distinct sites (fractional):
Rb (0.2500, 0.0158, 0.2195)
Cr (0.2500, 0.7500, 0.7980)
Bi (0.2500, 0.2500, 0.6985)
F (0.0048, 0.2500, 0.4335)
F (0.0080, 0.7500, 0.0483)
F (0.2500, 0.5501, 0.8026)

(two)
First-principles (PBE with a Hubbard U) data for Rb2CrBiF6 after structural relaxation, as listed in Alexandria via LeMat-Bulk.

abc: 6.4218 6.4218 9.3788
angles: 90.00 90.00 90.00
Space group I4/mmm (No. 139)
Symmetry-distinct sites (fractional):
Rb (0.0000, 0.5000, 0.2500)
Cr (0.0000, 0.0000, 0.0000)
Bi (0.0000, 0.0000, 0.5000)
F (0.0000, 0.0000, 0.2545)
F (0.2280, 0.2280, 0.0000)

Which of them is most stable, and which least? Most stable: (one); least stable: (two).